A relaxed structure of Cs2CaAgRh. Source: Alexandria, functional GGA-PBE.

Summary:
- Theoretical density: 3.93 Mg/m³
- Total DFT energy (no corrections): -2.46 eV per atom
- Energy of formation from the pure elements: 0.32 eV/atom
- Calculated volume: 218.5 Å³/f.u.

Cell: 6.387 6.387 5.356 Å, 90.00 90.00 90.00°
Atoms (fractional coordinates):
Cs (0.000, 0.500, 0.000)
Cs (0.500, 0.000, 0.000)
Ca (0.000, 0.000, 0.500)
Ag (0.500, 0.500, 0.500)
Rh (0.000, 0.000, 0.000)